No. 1
Computed, not measured: an optimized crystal structure of Pa4Te2CSe at the PBE level of DFT.

a = 3.8249 Å, b = 7.0021 Å, c = 7.5568 Å
α = 106.26°, β = 90.00°, γ = 90.00°
With the nearest neighbours (Å) after each atom.
Fractional coordinates of all 8 atoms:
Pa 0.5000 0.2677 0.2053  1 C 2.54, 2 Se 2.82
Pa 0.5000 0.7323 0.7947  1 C 2.54, 2 Se 2.82
Pa 0.0000 0.2966 0.8086  2 C 2.57, 1 Se 2.84
Pa 0.0000 0.7034 0.1914  2 C 2.57, 1 Se 2.84
Te 0.5000 0.0000 0.5000  6 Pa 3.27-3.29
Te 0.0000 0.5000 0.5000  6 Pa 3.04-3.05
C 0.5000 0.5000 0.0000  6 Pa 2.54-2.57
Se 0.0000 0.0000 0.0000  6 Pa 2.82-2.84

Properties
**E_form (uncorrected)**: -5.84 eV/f.u.
**Spin magnetization**: 0.00 μB/f.u.
**Space group**: P2/m
**Density**: 10857 kg/m³

No. 2
Computed, not measured: an optimized crystal structure of ThPaCSe at the PBE level of DFT.

a = 3.7277 Å, b = 3.7283 Å, c = 7.4332 Å
α = 90.00°, β = 104.53°, γ = 120.00°
With the nearest neighbours (Å) after each atom.
Fractional coordinates of all 4 atoms:
Th 0.5015 0.1487 0.6655  3 C 2.66
Pa 0.1013 0.9486 0.0652  3 C 2.50
C 0.3151 0.5555 0.8859  3 Pa 2.50, 3 Th 2.66
Se 0.9600 0.3780 0.3530  3 Pa 2.97, 3 Th 3.09

Properties
**E_form (uncorrected)**: -3.69 eV/f.u.
**Spin magnetization**: 0.00 μB/f.u.
**Space group**: R3m
**Density**: 10745 kg/m³

No. 3
Computed, not measured: an optimized crystal structure of ThPaCSe2 at the PBE level of DFT.

a = 4.0819 Å, b = 4.0819 Å, c = 14.2043 Å
α = 90.00°, β = 90.00°, γ = 90.00°
With the nearest neighbours (Å) after each atom.
Fractional coordinates of all 10 atoms:
Th 0.5000 0.0000 0.1071  6 Se 2.84-3.16
Th 0.0000 0.5000 0.8929  6 Se 2.84-3.16
Pa 0.5000 0.0000 0.5798  4 C 2.33
Pa 0.0000 0.5000 0.4202  4 C 2.33
C 0.0000 0.0000 0.5000  4 Pa 2.33
C 0.5000 0.5000 0.5000  4 Pa 2.33
Se 0.0000 0.5000 0.6932  1 Th 2.84
Se 0.0000 0.5000 0.1155  5 Th 2.89-3.16
Se 0.5000 0.0000 0.8845  5 Th 2.89-3.16
Se 0.5000 0.0000 0.3068  1 Th 2.84

Properties
**E_form (uncorrected)**: -5.67 eV/f.u.
**Spin magnetization**: 0.00 μB/f.u.
**Space group**: P4/nmm
**Density**: 8883 kg/m³